Record 1
Entry from Alexandria via LeMat-Bulk: NbPb2Se2ClO8 at its PBEsol-relaxed geometry (meta-GGA SCAN).

Geometry as POSCAR:
```
NbPb2Se2ClO8
1.0
8.559 0.000 0.000
0.000 5.418 0.000
-3.990 0.000 9.945
Nb Pb Se Cl O
2 4 4 2 16
Direct
0.159 0.000 0.068
0.841 0.500 0.932
0.188 0.001 0.478
0.316 0.458 0.793
0.684 0.958 0.207
0.812 0.501 0.522
0.014 0.013 0.729
0.379 0.504 0.206
0.621 0.004 0.794
0.986 0.513 0.271
0.349 0.520 0.537
0.651 0.020 0.463
0.036 0.315 0.047
0.062 0.234 0.628
0.079 0.754 0.668
0.168 0.919 0.234
0.183 0.084 0.874
0.323 0.711 0.069
0.379 0.223 0.125
0.412 0.058 0.728
0.588 0.558 0.272
0.621 0.723 0.875
0.677 0.211 0.931
0.817 0.584 0.126
0.832 0.419 0.766
0.921 0.254 0.332
0.938 0.734 0.372
0.964 0.815 0.953
```

E_tot   -21.71 eV per atom
E_form (uncorrected)   -1.523 eV per atom
Crystal system   monoclinic
Mass density   6.0 g/cm3


Record 2
Entry from Alexandria via LeMat-Bulk: Pr3NbCl6O4 at its PBEsol-relaxed geometry (meta-GGA SCAN).

Geometry as POSCAR:
```
Pr3NbCl6O4
1.0
12.648 0.000 0.000
-6.324 10.953 0.000
0.000 0.000 3.969
Pr Nb Cl O
6 2 12 8
Direct
0.113 0.719 0.250
0.281 0.394 0.250
0.394 0.113 0.750
0.606 0.887 0.250
0.719 0.606 0.750
0.887 0.281 0.750
0.333 0.667 0.750
0.667 0.333 0.250
0.072 0.444 0.250
0.100 0.246 0.750
0.146 0.900 0.750
0.246 0.146 0.250
0.372 0.928 0.250
0.444 0.372 0.750
0.556 0.628 0.250
0.628 0.072 0.750
0.754 0.854 0.750
0.854 0.100 0.250
0.900 0.754 0.250
0.928 0.556 0.750
0.198 0.693 0.750
0.307 0.505 0.750
0.333 0.667 0.250
0.495 0.802 0.750
0.505 0.198 0.250
0.667 0.333 0.750
0.693 0.495 0.250
0.802 0.307 0.250
```

E_tot   -19.75 eV per atom
E_form (uncorrected)   -2.905 eV per atom
Crystal system   hexagonal
Mass density   4.8 g/cm3